1.
The following is a DFT calculation (PBE) of crystalline MgSb2IBr at its relaxed geometry.

Cell: 5.650 5.650 5.687 Å, 90.00 90.00 90.00°
Space group P4/mmm (No. 123)
One atom of each set of equivalent atoms:
Mg 0.000 0.000 0.000 (multiplicity 1)
Sb 0.000 0.500 0.500 (multiplicity 2)
I 0.500 0.500 0.000 (multiplicity 1)
Br 0.500 0.500 0.500 (multiplicity 1)

Properties
Magnetization in μB/atom: 0.000
Formation energy without anion corrections in eV per atom: 0.73
Energy above the lowest structure with this stoichiometry in eV per formula unit: 2.35

2.
The following is a DFT calculation (PBE) of crystalline BaMgI4 at its relaxed geometry.

Cell: 11.198 11.198 9.649 Å, 90.00 90.00 90.00°
Space group I4_1/amd (No. 141, origin choice 2)
One atom of each set of equivalent atoms:
Ba 0.000 0.250 0.375 (multiplicity 4)
Mg 0.000 0.250 0.875 (multiplicity 4)
I 0.000 0.066 0.688 (multiplicity 16)

Properties
Magnetization in μB/atom: 0.000
Formation energy without anion corrections in eV per atom: -1.38
Energy above the lowest structure with this stoichiometry in eV per formula unit: 0.00

3.
The following is a DFT calculation (PBE) of crystalline TbZnInIr at its relaxed geometry.

Cell: 6.779 6.779 6.779 Å, 90.00 90.00 90.00°
Space group F-43m (No. 216)
One atom of each set of equivalent atoms:
Tb 0.000 0.000 0.000 (multiplicity 4)
Zn 0.250 0.250 0.250 (multiplicity 4)
In 0.000 0.000 0.500 (multiplicity 4)
Ir 0.250 0.250 0.750 (multiplicity 4)

Properties
Uncorrected energy in eV/atom: -4.77
Magnetization in μB/atom: 0.000

4.
The following is a DFT calculation (PBE) of crystalline Tb2Tm3Cu4 at its relaxed geometry.

Cell: 8.426 7.193 6.995 Å, 90.00 109.04 90.00°
Space group P2_1/c (No. 14)
One atom of each set of equivalent atoms:
Tb 0.189 0.179 0.059 (multiplicity 4)
Tm 0.236 0.675 0.229 (multiplicity 4)
Tm 0.500 0.000 0.500 (multiplicity 2)
Cu 0.064 0.532 0.849 (multiplicity 4)
Cu 0.491 0.125 0.878 (multiplicity 4)

Properties
Uncorrected energy in eV/atom: -4.54
Magnetization in μB/atom: 0.000

| no. | volume (Å³ per cell) |
| --- | --- |
| 1 | 181.6 |
| 2 | 1209.8 |
| 3 | 311.5 |
| 4 | 400.8 |